No. 1
This record from Alexandria describes an optimized crystal structure of Y4MgOs. The functional is PBE.

Unit cell a=13.8009 b=13.8009 c=13.8009 alpha=90.00 beta=90.00 gamma=90.00
With the nearest neighbours (Å) after each atom.
Space group F-43m (No. 216)
Symmetry-distinct sites (fractional):
Y: 0.0000 0.0000 0.1883 [24 per cell]  2 Os 2.80
Y: 0.0589 0.2500 0.2500 [24 per cell]  2 Mg 3.34, 2 Os 3.49, 10 Y 3.49-3.73
Y: 0.1560 0.1560 0.6560 [16 per cell]  3 Os 2.85
Mg: 0.0792 0.0792 0.4208 [16 per cell]  3 Mg 3.09, 3 Y 3.34
Os: 0.1389 0.1389 0.8611 [16 per cell]  6 Y 2.80-2.85

Calculated values
* DFT formation energy: -181 meV per atom
* E above lowest polymorph: 0 meV/atom



No. 2
This record from Alexandria describes an optimized crystal structure of HfTi3Si. The functional is PBE.

Unit cell a=8.7654 b=3.3594 c=11.9210 alpha=90.00 beta=90.00 gamma=90.00
With the nearest neighbours (Å) after each atom.
Space group Pnma (No. 62)
Symmetry-distinct sites (fractional):
Hf: 0.1634 0.2500 0.0063 [4 per cell]  2 Si 2.77, 4 Ti 3.03-3.08
Ti: 0.0685 0.2500 0.4161 [4 per cell]  3 Si 2.60-2.63, 5 Ti 2.69-2.91
Ti: 0.0766 0.7500 0.2173 [4 per cell]  2 Si 2.63-2.69, 6 Ti 2.76-2.91
Ti: 0.1727 0.7500 0.7944 [4 per cell]  2 Si 2.60, 3 Ti 2.69-2.76
Si: 0.1487 0.2500 0.6289 [4 per cell]  7 Ti 2.60-2.69, 2 Hf 2.77

Calculated values
* E above lowest polymorph: 0 meV/atom



No. 3
This record from Alexandria describes an optimized crystal structure of KZrRu. The functional is PBE.

Unit cell a=4.7073 b=4.7073 c=3.4191 alpha=90.00 beta=90.00 gamma=120.00
With the nearest neighbours (Å) after each atom.
Space group P3m1 (No. 156)
Symmetry-distinct sites (fractional):
K: 0.0000 0.0000 0.0000 [1 per cell]  3 Ru 3.02, 6 Zr 3.09-3.35
Zr: 0.3333 0.6667 0.5730 [1 per cell]  3 Ru 2.79, 3 K 3.09
Ru: 0.6667 0.3333 0.3849 [1 per cell]  3 Zr 2.79, 3 K 3.02

Calculated values
* DFT formation energy: 902 meV per atom
* E above lowest polymorph: 913 meV/atom



No. 4
This record from Alexandria describes an optimized crystal structure of Ce3Co. The functional is PBE.

Unit cell a=5.5207 b=8.2739 c=8.7486 alpha=84.06 beta=71.67 gamma=70.82
With the nearest neighbours (Å) after each atom.
Space group P1 (No. 1)
Symmetry-distinct sites (fractional):
Ce: 0.0000 0.0000 0.0000 [1 per cell]  4 Co 2.70-2.88
Ce: 0.0071 0.2956 0.6935 [1 per cell]  4 Co 2.69-2.88
Ce: 0.0156 0.0570 0.3471 [1 per cell]  7 Ce 3.00-3.24, 2 Co 3.10
Ce: 0.1269 0.6501 0.5153 [1 per cell]  1 Ce 2.78, 2 Co 3.05-3.10
Ce: 0.2940 0.6498 0.1799 [1 per cell]  1 Ce 2.78, 2 Co 3.06-3.10
Ce: 0.3535 0.2957 0.0016 [1 per cell]  4 Co 2.70-2.89
Ce: 0.4264 0.2409 0.3477 [1 per cell]  7 Ce 3.00-3.26, 2 Co 3.09-3.10
Ce: 0.5075 0.6462 0.7389 [1 per cell]  2 Co 2.72-2.76
Ce: 0.5992 0.8577 0.3474 [1 per cell]  2 Co 2.96-2.97, 4 Ce 3.00-3.26
Ce: 0.6522 0.9999 0.6951 [1 per cell]  4 Co 2.69-2.88
Ce: 0.8094 0.4407 0.3470 [1 per cell]  2 Co 2.96-2.97, 4 Ce 3.00-3.26
Ce: 0.8991 0.6464 0.9566 [1 per cell]  2 Co 2.72-2.75
Co: 0.1774 0.9529 0.6610 [1 per cell]  6 Ce 2.69-2.97
Co: 0.4850 0.3423 0.6613 [1 per cell]  6 Ce 2.69-2.97
Co: 0.4915 0.9525 0.0336 [1 per cell]  6 Ce 2.70-2.96
Co: 0.7982 0.3430 0.0336 [1 per cell]  6 Ce 2.70-2.96

Calculated values
* DFT formation energy: -68 meV per atom



No. 5
This record from Alexandria describes an optimized crystal structure of KGaSbS4. The functional is PBE.

Unit cell a=6.3915 b=6.8594 c=8.5065 alpha=90.00 beta=101.49 gamma=90.00
With the nearest neighbours (Å) after each atom.
Space group P2_1/m (No. 11)
Symmetry-distinct sites (fractional):
K: 0.1843 0.2500 0.0726 [2 per cell]  2 S 3.08-3.39
Ga: 0.3671 0.2500 0.6700 [2 per cell]  4 S 2.25-2.32
Sb: 0.1647 0.7500 0.4425 [2 per cell]  6 S 2.57-2.86
S: 0.1363 0.9996 0.7063 [4 per cell]  1 Ga 2.32
S: 0.3019 0.7500 0.1740 [2 per cell]  1 Ga 2.26
S: 0.4382 0.2500 0.4209 [2 per cell]  1 Ga 2.25

Calculated values
* raw total energy: -0.1499 Ha/atom



No. 6
This record from Alexandria describes an optimized crystal structure of Y2Be4AlIr3. The functional is PBE.

Unit cell a=3.8501 b=3.8501 c=10.1571 alpha=90.00 beta=90.00 gamma=90.00
With the nearest neighbours (Å) after each atom.
Space group P-4m2 (No. 115)
Symmetry-distinct sites (fractional):
Y: 0.0000 0.5000 0.2408 [2 per cell]  6 Ir 2.96-3.26, 8 Be 2.97-3.11, 2 Al 3.26
Be: 0.0000 0.0000 0.0000 [1 per cell]  4 Ir 2.31
Be: 0.0000 0.5000 0.6415 [2 per cell]  3 Ir 2.37-2.40, 2 Al 2.40
Be: 0.5000 0.5000 0.0000 [1 per cell]  4 Ir 2.31
Al: 0.0000 0.0000 0.5000 [1 per cell]  4 Be 2.40
Ir: 0.0000 0.5000 0.8745 [2 per cell]  5 Be 2.31-2.37
Ir: 0.5000 0.5000 0.5000 [1 per cell]  4 Be 2.40

Calculated values
* DFT formation energy: -595 meV per atom



No. 7
This record from Alexandria describes an optimized crystal structure of HfAlRu. The functional is PBE.

Unit cell a=4.2358 b=10.9777 c=4.4117 alpha=90.00 beta=90.00 gamma=90.00
With the nearest neighbours (Å) after each atom.
Space group Cmcm (No. 63)
Symmetry-distinct sites (fractional):
Hf: 0.0000 0.1016 0.2500 [4 per cell]  4 Ru 2.69-2.73
Al: 0.0000 0.3920 0.2500 [4 per cell]  4 Ru 2.58-2.76
Ru: 0.0000 0.2416 0.7500 [4 per cell]  4 Al 2.58-2.76, 4 Hf 2.69-2.73

Calculated values
* DFT formation energy: -566 meV per atom



No. 8
This record from Alexandria describes an optimized crystal structure of CaSmMgPd. The functional is PBE.

Unit cell a=7.3800 b=7.3800 c=7.3800 alpha=90.00 beta=90.00 gamma=90.00
With the nearest neighbours (Å) after each atom.
Space group F-43m (No. 216)
Symmetry-distinct sites (fractional):
Ca: 0.0000 0.0000 0.0000 [4 per cell]  4 Mg 3.20, 4 Pd 3.20
Sm: 0.0000 0.0000 0.5000 [4 per cell]  4 Mg 3.20, 4 Pd 3.20
Mg: 0.2500 0.2500 0.2500 [4 per cell]  4 Ca 3.20, 4 Sm 3.20
Pd: 0.2500 0.2500 0.7500 [4 per cell]  4 Ca 3.20, 4 Sm 3.20

Calculated values
* DFT formation energy: -342 meV per atom



No. 9
This record from Alexandria describes an optimized crystal structure of Pm5Tm2Sn5. The functional is PBE.

Unit cell a=14.8749 b=4.4345 c=12.7231 alpha=90.00 beta=110.68 gamma=90.00
With the nearest neighbours (Å) after each atom.
Space group C2/m (No. 12)
Symmetry-distinct sites (fractional):
Pm: 0.0000 0.0000 0.0000 [2 per cell]  4 Sn 3.14
Pm: 0.1606 0.0000 0.5386 [4 per cell]  5 Sn 3.17-3.35
Pm: 0.2244 0.0000 0.8429 [4 per cell]  5 Sn 3.07-3.29
Tm: 0.0519 0.5000 0.2877 [4 per cell]  4 Sn 2.96-3.06
Sn: 0.0000 0.5000 0.5000 [2 per cell]  2 Tm 3.06, 4 Pm 3.17
Sn: 0.1149 0.5000 0.9258 [4 per cell]  1 Tm 2.96, 5 Pm 3.07-3.15
Sn: 0.1929 0.0000 0.2909 [4 per cell]  2 Tm 3.04, 5 Pm 3.29-3.35

Calculated values
* DFT formation energy: -537 meV per atom



No. 10
This record from Alexandria describes an optimized crystal structure of RbTlSiAs2. The functional is PBE.

Unit cell a=6.1629 b=14.2504 c=8.0336 alpha=90.00 beta=90.00 gamma=90.00
With the nearest neighbours (Å) after each atom.
Space group Cmme (No. 67)
Symmetry-distinct sites (fractional):
Rb: 0.0000 0.2500 0.1915 [4 per cell]  6 As 3.56-3.81
Tl: 0.0000 0.0000 0.5000 [4 per cell]  2 As 3.08, 2 Tl 3.08
Si: 0.2500 0.0000 0.0000 [4 per cell]  4 As 2.40
As: 0.0000 0.0944 0.8449 [8 per cell]  2 Si 2.40

Calculated values
* raw total energy: -0.1379 Ha/atom



No. 11
This record from Alexandria describes an optimized crystal structure of Mn2CdCl. The functional is PBE.

Unit cell a=3.0939 b=3.0939 c=8.1062 alpha=90.00 beta=90.00 gamma=90.00
With the nearest neighbours (Å) after each atom.
Space group P4mm (No. 99)
Symmetry-distinct sites (fractional):
Mn: 0.0000 0.0000 0.0000 [1 per cell]  4 Cl 2.65, 4 Mn 2.67
Mn: 0.5000 0.5000 0.1883 [1 per cell]  4 Mn 2.67, 4 Cd 2.84
Cd: 0.0000 0.0000 0.4114 [1 per cell]  4 Mn 2.84, 4 Cd 3.09
Cl: 0.5000 0.5000 0.8154 [1 per cell]  4 Mn 2.65

Calculated values
* E above lowest polymorph: 0 meV/atom



No. 12
This record from Alexandria describes an optimized crystal structure of NaZn3Br. The functional is PBE.

Unit cell a=5.7993 b=5.7993 c=5.7993 alpha=90.00 beta=90.00 gamma=90.00
With the nearest neighbours (Å) after each atom.
Space group Pm-3m (No. 221)
Symmetry-distinct sites (fractional):
Na: 0.0000 0.0000 0.0000 [1 per cell]  12 Zn 4.10
Zn: 0.0000 0.5000 0.5000 [3 per cell]  2 Br 2.90
Br: 0.5000 0.5000 0.5000 [1 per cell]  6 Zn 2.90

Calculated values
* E above lowest polymorph: 113 meV/atom



No. 13
This record from Alexandria describes an optimized crystal structure of CdInSb. The functional is PBE.

Unit cell a=5.3071 b=5.3071 c=3.3119 alpha=90.00 beta=90.00 gamma=120.00
With the nearest neighbours (Å) after each atom.
Space group P-6m2 (No. 187)
Symmetry-distinct sites (fractional):
Cd: 0.0000 0.0000 0.0000 [1 per cell]  3 Sb 3.06, 2 Cd 3.31
In: 0.6667 0.3333 0.5000 [1 per cell]  2 In 3.31, 6 Cd 3.48, 6 Sb 3.48
Sb: 0.3333 0.6667 0.0000 [1 per cell]  3 Cd 3.06, 2 Sb 3.31

Calculated values
* raw total energy: -0.0930 Ha/atom



No. 14
This record from Alexandria describes an optimized crystal structure of CaIrSeF. The functional is PBE.

Unit cell a=6.9379 b=3.8025 c=6.3893 alpha=90.00 beta=91.23 gamma=90.00
With the nearest neighbours (Å) after each atom.
Space group Cm (No. 8)
Symmetry-distinct sites (fractional):
Ca: 0.0000 0.0000 0.0000 [2 per cell]  3 F 2.31-2.33
Ir: 0.1640 0.5000 0.3729 [2 per cell]  3 Se 2.37
Se: 0.4915 0.5000 0.4884 [2 per cell]  3 Ir 2.37
F: 0.3258 0.0000 0.9182 [2 per cell]  3 Ca 2.31-2.33

Calculated values
* E above lowest polymorph: 0 meV/atom



No. 15
This record from Alexandria describes an optimized crystal structure of Li5Ac2Mg12. The functional is PBE.

Unit cell a=10.3662 b=10.3662 c=15.0983 alpha=90.00 beta=90.00 gamma=120.00
With the nearest neighbours (Å) after each atom.
Space group R-3m (No. 166, hexagonal axes)
Symmetry-distinct sites (fractional):
Li: 0.0000 0.0000 0.0974 [6 per cell]  4 Li 2.94-3.17, 3 Mg 3.18
Li: 0.0000 0.5000 0.5000 [9 per cell]  8 Mg 2.96-2.97, 2 Li 3.17
Ac: 0.0000 0.0000 0.3467 [6 per cell]  15 Mg 3.67-3.98, 4 Li 3.76-4.04
Mg: 0.0000 0.2965 0.0000 [18 per cell]  2 Li 2.97, 6 Mg 3.07-3.14
Mg: 0.0085 0.5042 0.8476 [18 per cell]  3 Li 2.96-3.18, 6 Mg 3.10-3.14

Calculated values
* DFT formation energy: -69 meV per atom



No. 16
This record from Alexandria describes an optimized crystal structure of PmPr4Pb2. The functional is PBE.

Unit cell a=5.6125 b=5.6125 c=28.3429 alpha=90.00 beta=90.00 gamma=120.00
With the nearest neighbours (Å) after each atom.
Space group R-3m (No. 166, hexagonal axes)
Symmetry-distinct sites (fractional):
Pm: 0.0000 0.0000 0.0000 [3 per cell]  2 Pb 3.12, 6 Pr 3.43
Pr: 0.0000 0.0000 0.2242 [6 per cell]  4 Pb 3.24
Pr: 0.0000 0.0000 0.3729 [6 per cell]  3 Pm 3.43, 3 Pr 3.79, 3 Pb 3.81
Pb: 0.0000 0.0000 0.1101 [6 per cell]  1 Pm 3.12, 4 Pr 3.24

Calculated values
* DFT formation energy: -153 meV per atom



No. 17
This record from Alexandria describes an optimized crystal structure of PrDyNCl. The functional is PBE.

Unit cell a=3.6243 b=3.6243 c=21.2334 alpha=90.00 beta=90.00 gamma=120.00
With the nearest neighbours (Å) after each atom.
Space group R3m (No. 160, hexagonal axes)
Symmetry-distinct sites (fractional):
Pr: 0.0000 0.0000 0.0000 [3 per cell]  3 N 2.66
Dy: 0.0000 0.0000 0.7920 [3 per cell]  3 N 2.33
N: 0.0000 0.0000 0.4109 [3 per cell]  3 Dy 2.33
Cl: 0.0000 0.0000 0.2229 [3 per cell]  3 Dy 2.94, 3 Pr 3.14

Calculated values
* raw total energy: -0.2370 Ha/atom



No. 18
This record from Alexandria describes an optimized crystal structure of Mg8AlGa2. The functional is PBE.

Unit cell a=4.6387 b=7.2919 c=13.6743 alpha=90.00 beta=90.00 gamma=90.00
With the nearest neighbours (Å) after each atom.
Space group Immm (No. 71)
Symmetry-distinct sites (fractional):
Mg: 0.0000 0.0000 0.1546 [4 per cell]  8 Mg 3.01-3.08, 2 Al 3.14, 2 Ga 3.20
Mg: 0.0000 0.2220 0.3432 [8 per cell]  3 Ga 2.85-2.97, 1 Al 2.95, 5 Mg 3.05-3.16
Mg: 0.0000 0.2939 0.0000 [4 per cell]  2 Ga 2.94, 7 Mg 3.01-3.16, 2 Al 3.16
Al: 0.0000 0.5000 0.5000 [2 per cell]  12 Mg 2.95-3.16
Ga: 0.0000 0.5000 0.1847 [4 per cell]  10 Mg 2.85-3.20

Calculated values
* DFT formation energy: -51 meV per atom



No. 19
This record from Alexandria describes an optimized crystal structure of Li2SbMo. The functional is PBE.

Unit cell a=8.0557 b=4.3548 c=8.3584 alpha=90.00 beta=114.48 gamma=90.00
With the nearest neighbours (Å) after each atom.
Space group Cm (No. 8)
Symmetry-distinct sites (fractional):
Li: 0.0000 0.0000 0.0000 [2 per cell]  4 Sb 2.63-2.89, 3 Mo 2.66-2.88, 1 Li 2.93
Li: 0.0149 0.5000 0.5058 [2 per cell]  3 Li 2.71-2.87, 1 Mo 2.73, 4 Sb 2.74-2.83
Li: 0.1257 0.0000 0.3830 [2 per cell]  7 Li 2.71-2.93, 1 Mo 2.99
Li: 0.2310 0.5000 0.2455 [2 per cell]  4 Sb 2.73-2.90, 5 Li 2.75-3.04, 1 Mo 2.96
Sb: 0.3590 0.0000 0.1340 [2 per cell]  7 Li 2.63-2.89, 1 Mo 2.79
Sb: 0.3866 0.5000 0.6262 [2 per cell]  5 Li 2.74-2.90, 3 Mo 2.83-2.86
Mo: 0.1375 0.5000 0.8635 [2 per cell]  5 Li 2.66-2.96, 3 Mo 2.69
Mo: 0.2762 0.0000 0.7750 [2 per cell]  3 Mo 2.69, 4 Sb 2.79-2.86, 3 Li 2.95-2.99

Calculated values
* raw total energy: -0.1787 Ha/atom



No. 20
This record from Alexandria describes an optimized crystal structure of CaSbCl6. The functional is PBE.

Unit cell a=6.6305 b=12.6500 c=6.6125 alpha=90.00 beta=106.69 gamma=90.00
With the nearest neighbours (Å) after each atom.
Space group C2/m (No. 12)
Symmetry-distinct sites (fractional):
Ca: 0.0000 0.0000 0.0000 [2 per cell]  6 Cl 2.76-2.78
Sb: 0.0000 0.5000 0.5000 [2 per cell]  6 Cl 2.53-2.55
Cl: 0.2297 0.3599 0.7337 [8 per cell]  1 Sb 2.55, 1 Ca 2.76
Cl: 0.2413 0.5000 0.2642 [4 per cell]  1 Sb 2.53, 1 Ca 2.78

Calculated values
* E above lowest polymorph: 0 meV/atom



| no. | D(E_F) (states/eV/f.u.) |
| --- | --- |
| 1 | 7.79 |
| 2 | 6.61 |
| 3 | 1.37 |
| 4 | 9.51 |
| 5 | 2.39 |
| 6 | 2.79 |
| 7 | 2.26 |
| 8 | 2.89 |
| 9 | 7.64 |
| 10 | 2.26 |
| 11 | 2.18 |
| 12 | 0.73 |
| 13 | 1.64 |
| 14 | 2.23 |
| 15 | 12.60 |
| 16 | 8.26 |
| 17 | 0.14 |
| 18 | 4.07 |
| 19 | 0.67 |
| 20 | 5.39 |